VASP calculation (PBE) on a geometry-optimized ZnAgRu structure.

Structure (extended XYZ):
```
3
Lattice="-4.783 -1.702 5.234 -4.232 -4.048 3.942 1.307 0.424 2.364" Properties=species:S:1:pos:R:3 pbc="T T T"
Ag 1.271 0.403 2.387
Ru -2.053 -1.586 4.581
Zn -5.620 -3.720 6.935
```

- Space group: No. 42
- Energy relative to the lowest polymorph listed for this composition: 290 meV/atom
- Energy: -4.213 eV per atom
- Total magnetization: 0.6 μB per cell
- E_form: 0.25 eV/atom